Record 1
Computed, not measured: an optimized crystal structure of SrLi2ZrCl8 at the PBE level of DFT.

symmetry	P-1
final energy	-4.3487	eV/atom

Structure (POSCAR):
```
SrLi2ZrCl8
1.0
6.537 0.000 0.000
1.210 6.840 0.000
0.161 2.779 7.940
Sr Li Zr Cl
1 2 1 8
Direct
0.000 0.000 0.000
0.467 0.358 0.183
0.533 0.642 0.817
0.000 0.000 0.500
0.128 0.205 0.657
0.131 0.221 0.225
0.336 0.759 0.556
0.389 0.722 0.052
0.611 0.278 0.948
0.664 0.241 0.444
0.869 0.779 0.775
0.872 0.795 0.343
```

=====

Record 2
Computed, not measured: an optimized crystal structure of LiTaCl2 at the PBE level of DFT.

symmetry	R3m
final energy	-4.9746	eV/atom
relative energy among the computed polymorphs	0.1315	eV/atom

Structure (POSCAR):
```
LiTaCl2
1.0
1.609 0.929 8.659
-1.609 0.929 8.659
0.000 -1.858 8.659
Li Ta Cl
1 1 2
Direct
0.000 0.000 0.000
0.776 0.776 0.776
0.288 0.288 0.288
0.507 0.507 0.507
```

=====

Record 3
Computed, not measured: an optimized crystal structure of LiTaCl2 at the PBE level of DFT.

symmetry	F-43m
final energy	-3.6913	eV/atom
relative energy among the computed polymorphs	1.4147	eV/atom

Structure (POSCAR):
```
LiTaCl2
1.0
0.000 3.418 3.418
3.418 0.000 3.418
3.418 3.418 0.000
Li Ta Cl
1 1 2
Direct
0.000 0.000 0.000
0.250 0.250 0.250
0.500 0.500 0.500
0.750 0.750 0.750
```

=====

Record 4
Computed, not measured: an optimized crystal structure of LiTaCl2 at the PBE level of DFT.

symmetry	Cmmm
final energy	-4.8828	eV/atom
relative energy among the computed polymorphs	0.2233	eV/atom

Structure (POSCAR):
```
LiTaCl2
1.0
1.518 -2.967 0.000
1.518 2.967 0.000
0.000 0.000 7.813
Li Ta Cl
1 1 2
Direct
0.000 0.000 0.000
0.000 0.000 0.500
0.500 0.500 0.230
0.500 0.500 0.770
```

=====

no.,calculated density (Mg/m³)
1,2.2
2,5.5
3,5.4
4,6.1